(1)
This record from Alexandria describes crystalline Ce3In at its relaxed geometry. The functional is PBE.

## Properties
Total DFT energy (no corrections) ... -0.1914 hartree per atom
Excess energy over the best structure of this formula in the dataset ... 122 meV/atom
Symmetry ... Fm-3m

a = 5.399 Å, b = 5.399 Å, c = 5.399 Å
α = 60.00°, β = 60.00°, γ = 60.00°
Last column: magnetic moment on the atom in μB.
Sites, in units of the cell vectors:
In 0.500 0.500 0.500  -0.04
Ce 0.000 0.000 0.000  1.30
Ce 0.250 0.250 0.250  1.12
Ce 0.750 0.750 0.750  1.12

***

(2)
This record from Alexandria describes crystalline Ac3YS6 at its relaxed geometry. The functional is PBE.

## Properties
Formation energy (no corrections) ... -21.16 eV per formula unit
Total DFT energy (no corrections) ... -0.2378 hartree per atom
Excess energy over the best structure of this formula in the dataset ... 37 meV/atom
Symmetry ... P2_1/c

a = 7.148 Å, b = 7.683 Å, c = 10.541 Å
α = 90.00°, β = 91.39°, γ = 90.00°
Sites, in units of the cell vectors:
Ac 0.466 0.082 0.252
Ac 0.034 0.582 0.248
Ac 0.966 0.418 0.752
Ac 0.000 0.000 0.500
Ac 0.534 0.918 0.748
Ac 0.500 0.500 0.000
S 0.302 0.815 0.076
S 0.147 0.063 0.762
S 0.853 0.937 0.238
S 0.698 0.185 0.924
S 0.198 0.315 0.424
S 0.825 0.699 0.922
S 0.353 0.563 0.738
S 0.675 0.199 0.578
S 0.802 0.685 0.576
S 0.325 0.801 0.422
S 0.647 0.437 0.262
S 0.175 0.301 0.078
Y 0.000 0.000 0.000
Y 0.500 0.500 0.500

***

(3)
This record from Alexandria describes crystalline Ba2Sn2Au at its relaxed geometry. The functional is PBE.

## Properties
Total DFT energy (no corrections) ... -0.1225 hartree per atom
Excess energy over the best structure of this formula in the dataset ... 373 meV/atom
Symmetry ... I4/mmm

a = 6.860 Å, b = 6.860 Å, c = 6.432 Å
α = 57.77°, β = 57.77°, γ = 90.00°
Sites, in units of the cell vectors:
Au 0.000 0.000 0.000
Ba 0.750 0.250 0.500
Ba 0.250 0.750 0.500
Sn 0.330 0.330 0.340
Sn 0.670 0.670 0.660

***

(4)
This record from Alexandria describes crystalline Pr3GdN at its relaxed geometry. The functional is PBE.

## Properties
Formation energy (no corrections) ... -2.12 eV per formula unit
Total DFT energy (no corrections) ... -0.2857 hartree per atom
Symmetry ... Pm-3m

a = 5.191 Å, b = 5.191 Å, c = 5.191 Å
α = 90.00°, β = 90.00°, γ = 90.00°
Last column: magnetic moment on the atom in μB.
Sites, in units of the cell vectors:
Gd 0.500 0.500 0.500  7.31
Pr 0.500 0.000 0.000  0.07
Pr 0.000 0.000 0.500  0.07
Pr 0.000 0.500 0.000  0.07
N 0.000 0.000 0.000  0.02

***

(5)
This record from Alexandria describes crystalline NpHgI at its relaxed geometry. The functional is PBE.

## Properties
Formation energy (no corrections) ... -0.14 eV per formula unit
Total DFT energy (no corrections) ... -0.1830 hartree per atom
Symmetry ... P-1

a = 3.753 Å, b = 5.475 Å, c = 11.304 Å
α = 115.81°, β = 99.60°, γ = 90.01°
Last column: magnetic moment on the atom in μB.
Sites, in units of the cell vectors:
Hg 0.566 0.953 0.631  0.03
Hg 0.434 0.047 0.369  0.03
Np 0.947 0.560 0.394  4.12
Np 0.053 0.440 0.606  4.12
I 0.678 0.618 0.854  -0.03
I 0.322 0.382 0.146  -0.03

***

(6)
This record from Alexandria describes crystalline Pm5Nd12Th2 at its relaxed geometry. The functional is PBE.

## Properties
Total DFT energy (no corrections) ... -0.1809 hartree per atom
Excess energy over the best structure of this formula in the dataset ... 0 meV/atom
Symmetry ... C2/m

a = 11.863 Å, b = 10.908 Å, c = 6.277 Å
α = 101.09°, β = 90.00°, γ = 122.94°
Sites, in units of the cell vectors:
Pm 0.678 0.357 0.853
Pm 0.000 0.000 0.500
Pm 0.213 0.427 0.556
Pm 0.787 0.573 0.444
Pm 0.322 0.643 0.147
Th 0.769 0.000 0.000
Th 0.231 0.000 0.000
Nd 0.355 0.204 0.610
Nd 0.883 0.765 0.002
Nd 0.117 0.235 0.998
Nd 0.454 0.395 0.200
Nd 0.849 0.204 0.610
Nd 0.058 0.605 0.800
Nd 0.942 0.395 0.200
Nd 0.645 0.796 0.390
Nd 0.151 0.796 0.390
Nd 0.546 0.605 0.800
Nd 0.554 0.108 0.267
Nd 0.446 0.892 0.733

***

(7)
This record from Alexandria describes crystalline CrAgHg4 at its relaxed geometry. The functional is PBE.

## Properties
Total DFT energy (no corrections) ... -0.0658 hartree per atom
Symmetry ... F-43m

a = 5.802 Å, b = 5.802 Å, c = 5.802 Å
α = 60.00°, β = 60.00°, γ = 60.00°
Last column: magnetic moment on the atom in μB.
Sites, in units of the cell vectors:
Cr 0.000 0.000 0.000  4.07
Hg 0.375 0.875 0.375  0.00
Hg 0.875 0.375 0.375  0.00
Hg 0.375 0.375 0.375  0.00
Hg 0.375 0.375 0.875  0.00
Ag 0.750 0.750 0.750  0.01

***

(8)
This record from Alexandria describes crystalline CsNbSeBr2 at its relaxed geometry. The functional is PBE.

## Properties
Formation energy (no corrections) ... -4.58 eV per formula unit
Total DFT energy (no corrections) ... -0.1641 hartree per atom
Symmetry ... P4/mmm

a = 5.571 Å, b = 5.571 Å, c = 5.077 Å
α = 90.00°, β = 90.00°, γ = 90.00°
Last column: magnetic moment on the atom in μB.
Sites, in units of the cell vectors:
Se 0.000 0.000 0.500  -0.06
Nb 0.000 0.000 0.000  1.64
Cs 0.500 0.500 0.500  0.00
Br 0.000 0.500 0.000  0.03
Br 0.500 0.000 0.000  0.03

***

(9)
This record from Alexandria describes crystalline Mn2Zn at its relaxed geometry. The functional is PBE.

## Properties
Total DFT energy (no corrections) ... -0.2255 hartree per atom
Symmetry ... I4/mcm

a = 4.897 Å, b = 4.897 Å, c = 4.897 Å
α = 104.17°, β = 104.17°, γ = 120.69°
Last column: magnetic moment on the atom in μB.
Sites, in units of the cell vectors:
Zn 0.250 0.250 0.000  -0.07
Zn 0.750 0.750 0.000  -0.07
Mn 0.152 0.652 0.804  3.35
Mn 0.652 0.848 0.500  3.35
Mn 0.348 0.152 0.500  3.35
Mn 0.848 0.348 0.196  3.35

***

(10)
This record from Alexandria describes crystalline KCo3Ag at its relaxed geometry. The functional is PBE.

## Properties
Total DFT energy (no corrections) ... -0.1319 hartree per atom
Excess energy over the best structure of this formula in the dataset ... 0 meV/atom
Symmetry ... Pm-3m

a = 4.889 Å, b = 4.889 Å, c = 4.889 Å
α = 90.00°, β = 90.00°, γ = 90.00°
Last column: magnetic moment on the atom in μB.
Sites, in units of the cell vectors:
Co 0.000 0.000 0.500  2.53
Co 0.500 0.000 0.000  1.48
Co 0.000 0.500 0.000  2.12
K 0.500 0.500 0.500  -0.01
Ag 0.000 0.000 0.000  0.08

***

(11)
This record from Alexandria describes crystalline MnAl2Sb at its relaxed geometry. The functional is PBE.

## Properties
Formation energy (no corrections) ... 0.62 eV per formula unit
Total DFT energy (no corrections) ... -0.1852 hartree per atom
Symmetry ... Cm

a = 4.642 Å, b = 4.642 Å, c = 5.669 Å
α = 80.91°, β = 80.91°, γ = 38.01°
Last column: magnetic moment on the atom in μB.
Sites, in units of the cell vectors:
Sb 0.228 0.228 0.271  -0.03
Mn 0.498 0.498 0.574  2.59
Al 0.762 0.762 0.714  -0.04
Al 0.011 0.011 0.942  -0.01

***

(12)
This record from Alexandria describes crystalline K2BaPtF8 at its relaxed geometry. The functional is PBE.

## Properties
Formation energy (no corrections) ... -18.89 eV per formula unit
Total DFT energy (no corrections) ... -0.1348 hartree per atom
Symmetry ... P-3m1

a = 4.643 Å, b = 4.643 Å, c = 10.856 Å
α = 90.00°, β = 90.00°, γ = 120.00°
Last column: magnetic moment on the atom in μB.
Sites, in units of the cell vectors:
Ba 0.000 0.000 0.500  -0.01
K 0.333 0.667 0.823  0.00
K 0.667 0.333 0.177  0.00
F 0.667 0.333 0.942  0.10
F 0.006 0.503 0.365  0.45
F 0.333 0.667 0.058  0.10
F 0.497 0.503 0.365  0.45
F 0.503 0.497 0.635  0.45
F 0.497 0.994 0.365  0.45
F 0.994 0.497 0.635  0.45
F 0.503 0.006 0.635  0.45
Pt 0.000 0.000 0.000  0.92